Record 1
24
Lattice="-2.274 3.465 -0.848 -0.765 -3.191 -10.992 -10.036 -5.989 2.437" Properties=species:S:1:pos:R:3 comment="Th3FeGe2 PBE-GGA relaxed" e_form_ev_per_atom=-0.573 vol_a3_per_atom=24.14 pbc="T T T"
Ge -2.046 1.886 -2.638
Fe -11.078 -5.347 -7.974
Ge -11.029 -7.601 -6.764
Ge -5.914 -4.201 -6.588
Th -8.429 -6.002 -7.200
Ge -9.470 -4.762 -9.898
Th -9.457 -4.593 1.316
Th -11.667 -5.056 -5.205
Fe -5.892 -1.649 -6.771
Th -9.733 -3.001 -1.994
Th -3.341 -2.714 -7.408
Th -1.408 -0.659 -4.197
Th -6.235 -2.858 -0.236
Th -6.840 -2.857 -9.167
Th -8.339 -2.882 -5.244
Th -3.617 -1.122 -10.719
Th -4.736 -2.834 -4.158
Fe -7.182 -4.066 -2.631
Fe -1.996 -0.368 -1.428
Th -4.645 0.286 -2.203
Ge -7.160 -1.514 -2.815
Ge -9.001 -5.526 -3.723
Ge -3.605 -0.953 0.496
Ge -4.073 -0.189 -5.679

***

Record 2
19
Lattice="6.750 0.010 0.015 -1.663 6.542 0.015 -1.663 -2.143 6.182" Properties=species:S:1:pos:R:3 comment="ThFe12Ge6 PBE-GGA relaxed" e_form_ev_per_atom=-0.005 vol_a3_per_atom=14.40 pbc="T T T"
Fe 1.882 2.424 0.874
Th 0.000 0.000 0.000
Ge 0.131 0.169 4.398
Fe 3.865 2.581 3.634
Fe 4.963 3.037 0.722
Ge -0.512 3.267 4.601
Fe 1.542 4.384 3.634
Fe -1.539 4.729 3.105
Fe -0.441 1.829 2.576
Ge 3.292 0.314 4.601
Fe 1.712 -1.151 5.488
Ge 3.292 4.241 1.813
Fe 1.882 0.026 2.576
Fe 4.963 -0.319 3.105
Ge 0.131 4.096 1.609
Fe 1.712 5.561 0.722
Fe -1.539 1.373 5.488
Fe 1.542 1.986 5.337
Ge 3.936 1.143 1.609

***

Record 3
12
Lattice="3.940 0.000 0.000 -1.970 7.554 0.123 0.000 -3.294 6.488" Properties=species:S:1:pos:R:3 comment="ThFe3Ge2 PBE-GGA relaxed" e_form_ev_per_atom=-0.347 vol_a3_per_atom=16.22 pbc="T T T"
Ge 0.000 4.529 5.336
Fe 0.000 2.879 3.534
Ge 1.970 -0.269 1.275
Th 1.970 2.226 6.169
Fe 0.000 -0.720 2.533
Ge 1.970 3.647 2.111
Fe 1.970 4.980 4.078
Th 0.000 2.034 0.442
Fe 0.000 5.124 2.456
Fe 1.970 1.381 3.077
Fe 1.970 -0.864 4.155
Ge 0.000 0.613 4.500

***

Record 4
20
Lattice="5.852 0.000 0.000 2.926 7.764 0.206 2.926 1.401 7.640" Properties=species:S:1:pos:R:3 comment="Th2Fe3Ge5 PBE-GGA relaxed" e_form_ev_per_atom=-0.489 vol_a3_per_atom=17.27 pbc="T T T"
Fe 8.778 6.559 4.288
Ge 8.778 7.574 2.146
Ge 7.315 4.583 3.923
Fe 5.852 3.917 2.026
Th 5.852 7.315 3.268
Ge 4.389 2.016 1.726
Ge 1.463 2.016 1.726
Ge 10.241 7.149 6.120
Th 5.852 1.851 4.577
Th 2.926 4.808 1.123
Th 8.778 4.358 6.723
Fe 5.852 5.248 5.819
Fe 2.926 2.606 3.558
Ge 7.315 7.149 6.120
Fe 1.463 0.000 0.000
Ge 4.389 4.583 3.923
Ge 5.852 3.288 7.152
Ge 2.926 1.591 5.700
Ge 5.852 5.877 0.693
Fe 4.389 0.000 0.000

***

Record 5
4
Lattice="-2.296 2.168 1.063 -3.198 -0.415 -0.839 -3.268 -4.967 8.297" Properties=species:S:1:pos:R:3 comment="Th2FeGe PBE-GGA relaxed" e_form_ev_per_atom=0.380 vol_a3_per_atom=24.10 pbc="T T T"
Th -5.846 0.394 2.237
Ge -4.381 -1.607 4.260
Fe 0.000 0.000 0.000
Th -2.916 -3.607 6.283

***

Record 6
12
Lattice="-1.108 5.404 5.608 -2.075 -7.189 2.427 7.646 -0.122 -1.844" Properties=species:S:1:pos:R:3 comment="Th4FeGe PBE-GGA relaxed" e_form_ev_per_atom=-0.006 vol_a3_per_atom=31.19 pbc="T T T"
Th 3.167 -5.486 2.199
Fe 2.745 -3.678 0.395
Ge 1.222 -4.532 4.239
Th 3.429 0.794 4.197
Th -0.225 0.190 4.539
Th 1.361 3.508 3.980
Fe -0.837 -0.469 2.112
Ge -2.360 -1.323 5.956
Th 4.859 -2.001 1.221
Th 5.246 4.258 3.263
Th 0.984 -2.621 1.971
Th 1.135 0.937 0.897

***

Number 1 is which compound?
Th3FeGe2